Entry 1:
First-principles (PBE-GGA) data for BaNaCoCl6 after structural relaxation, as listed in the Alexandria database.

Formation energy without anion corrections: -1.42 eV per atom
Electronic total energy: -34.23 eV per cell
ρ: 2.87 g/cm³
Total magnetization: 0.1 μB per formula unit

Unit cell a=6.7436 b=6.7436 c=6.3493 alpha=90.00 beta=90.00 gamma=120.00
Space group P312 (No. 149)
Unique sites:
Ba  0.0000  0.0000  0.0000 (multiplicity 1)
Na  0.3333  0.6667  0.5000 (multiplicity 1)
Co  0.6667  0.3333  0.5000 (multiplicity 1)
Cl  0.3965  0.0541  0.7090 (multiplicity 6)

Entry 2:
First-principles (PBE-GGA) data for BaN2Cl after structural relaxation, as listed in the Alexandria database.

Formation energy without anion corrections: 0.95 eV per atom
DOS(E_F): 2.77 states/eV/f.u.
Electronic total energy: -66.54 eV per cell
ρ: 4.04 g/cm³
Total magnetization: 5.0 μB per formula unit

Unit cell a=6.913 b=6.913 c=6.913 alpha=90.00 beta=90.00 gamma=90.00
Space group Fm-3m (No. 225)
Unique sites:
Ba  0.000  0.000  0.000 (multiplicity 4)
N  0.250  0.250  0.250 (multiplicity 8)
Cl  0.000  0.000  0.500 (multiplicity 4)

Entry 3:
First-principles (PBE-GGA) data for Ca2MgB2H16C2O18 after structural relaxation, as listed in the Alexandria database.

DOS(E_F): 0.00 states/eV/f.u.
Electronic total energy: -492.08 eV per cell
ρ: 2.08 g/cm³
Total magnetization: 0.0 μB per formula unit

Unit cell a=10.688 b=6.758 c=11.557 alpha=90.00 beta=119.58 gamma=90.00
Space group P2_1/c (No. 14)
Unique sites:
Ca  0.061  0.011  0.298 (multiplicity 4)
Mg  0.500  0.000  0.500 (multiplicity 2)
B  0.263  0.193  0.004 (multiplicity 4)
H  0.036  0.250  0.052 (multiplicity 4)
H  0.113  0.641  0.481 (multiplicity 4)
H  0.235  0.076  0.609 (multiplicity 4)
H  0.245  0.102  0.829 (multiplicity 4)
H  0.293  0.020  0.164 (multiplicity 4)
H  0.402  0.688  0.592 (multiplicity 4)
H  0.423  0.630  0.181 (multiplicity 4)
H  0.488  0.179  0.107 (multiplicity 4)
C  0.252  0.740  0.273 (multiplicity 4)
O  0.027  0.711  0.410 (multiplicity 4)
O  0.114  0.721  0.206 (multiplicity 4)
O  0.177  0.153  0.527 (multiplicity 4)
O  0.181  0.161  0.858 (multiplicity 4)
O  0.269  0.002  0.071 (multiplicity 4)
O  0.303  0.590  0.832 (multiplicity 4)
O  0.335  0.596  0.279 (multiplicity 4)
O  0.408  0.234  0.546 (multiplicity 4)
O  0.457  0.687  0.122 (multiplicity 4)

> What is the electronic total energy in the second record?

-66.54 eV per cell

> What is the electronic total energy in the second record?

-66.54 eV per cell

> The lowest electronic total energy belongs to which entry?

Ca2MgB2H16C2O18

> total magnetization of number 2 (BaN2Cl)?

5.0 μB per formula unit